No. 1
# BaMgBS2

Crystalline BaMgBS2 at its relaxed geometry (GGA-PBE, the Alexandria database).

a = 4.996 Å, b = 4.281 Å, c = 4.996 Å
α = 90.00°, β = 90.00°, γ = 90.00°
Atoms (fractional coordinates):
Mg  0.000  0.500  0.000
Ba  0.500  0.500  0.500
B  0.000  0.000  0.000
S  0.000  0.000  0.500
S  0.500  0.000  0.000

Values from the calculation:
electronic total energy: -3.9220 eV/atom
crystal system: tetragonal
SG: P4/mmm (123)

No. 2
# LiLaGa4Ir2

Crystalline LiLaGa4Ir2 at its relaxed geometry (GGA-PBE, the Alexandria database).

a = 4.305 Å, b = 4.305 Å, c = 9.106 Å
α = 76.33°, β = 76.33°, γ = 60.00°
Atoms (fractional coordinates):
La  0.000  0.000  0.000
Ga  0.132  0.132  0.605
Ga  0.868  0.868  0.395
Ga  0.404  0.404  0.787
Ga  0.596  0.596  0.213
Li  0.500  0.500  0.500
Ir  0.768  0.768  0.697
Ir  0.232  0.232  0.303

Values from the calculation:
electronic total energy: -5.1663 eV/atom
crystal system: trigonal
E_form: -0.582 eV per atom
SG: R-3m (166)

No. 3
# Pm2Y2Tm7

Crystalline Pm2Y2Tm7 at its relaxed geometry (GGA-PBE, the Alexandria database).

a = 6.048 Å, b = 7.997 Å, c = 7.997 Å
α = 91.17°, β = 73.34°, γ = 73.34°
Atoms (fractional coordinates):
Tm  0.576  0.767  0.767
Tm  0.000  0.000  0.000
Tm  0.424  0.233  0.233
Tm  0.822  0.936  0.411
Tm  0.822  0.411  0.936
Tm  0.178  0.064  0.589
Tm  0.178  0.589  0.064
Y  0.500  0.789  0.211
Y  0.500  0.211  0.789
Pm  0.192  0.595  0.595
Pm  0.808  0.405  0.405

Values from the calculation:
electronic total energy: -4.7276 eV/atom
crystal system: monoclinic
E_form: 0.157 eV per atom
SG: C2/m (12)

No. 4
# Nd2GaSn3Pd4

Crystalline Nd2GaSn3Pd4 at its relaxed geometry (GGA-PBE, the Alexandria database).

a = 4.521 Å, b = 4.521 Å, c = 10.701 Å
α = 90.00°, β = 90.00°, γ = 90.00°
Atoms (fractional coordinates):
Pd  0.000  0.000  0.000
Pd  0.500  0.000  0.625
Pd  0.000  0.500  0.375
Pd  0.500  0.500  0.000
Nd  0.500  0.000  0.253
Nd  0.000  0.500  0.747
Sn  0.000  0.000  0.500
Sn  0.500  0.000  0.868
Sn  0.000  0.500  0.132
Ga  0.500  0.500  0.500

Values from the calculation:
electronic total energy: -5.3092 eV/atom
crystal system: tetragonal
E_form: -0.775 eV per atom
SG: P-4m2 (115)

No. 5
# DyPd8Au5

Crystalline DyPd8Au5 at its relaxed geometry (GGA-PBE, the Alexandria database).

a = 6.929 Å, b = 6.929 Å, c = 6.929 Å
α = 113.01°, β = 102.60°, γ = 113.01°
Atoms (fractional coordinates):
Pd  0.045  0.738  0.452
Pd  0.714  0.262  0.307
Pd  0.693  0.408  0.955
Pd  0.548  0.592  0.286
Pd  0.331  0.252  0.399
Pd  0.921  0.068  0.669
Pd  0.601  0.932  0.854
Pd  0.146  0.748  0.079
Dy  0.250  0.500  0.750
Au  0.852  0.924  0.211
Au  0.072  0.359  0.148
Au  0.789  0.641  0.713
Au  0.287  0.076  0.928
Au  0.500  0.000  0.500

Values from the calculation:
electronic total energy: -4.6203 eV/atom
crystal system: tetragonal
E_form: -0.154 eV per atom
SG: I-4 (82)

No. 6
# BaTb2Se4

Crystalline BaTb2Se4 at its relaxed geometry (GGA-PBE, the Alexandria database).

a = 4.231 Å, b = 7.212 Å, c = 14.334 Å
α = 90.00°, β = 90.00°, γ = 107.06°
Atoms (fractional coordinates):
Se  0.935  0.871  0.750
Se  0.767  0.535  0.112
Se  0.767  0.535  0.388
Se  0.500  0.000  0.500
Se  0.500  0.000  0.000
Se  0.233  0.465  0.612
Se  0.233  0.465  0.888
Se  0.065  0.129  0.250
Tb  0.135  0.269  0.067
Tb  0.865  0.731  0.933
Tb  0.135  0.269  0.433
Tb  0.865  0.731  0.567
Ba  0.610  0.220  0.750
Ba  0.390  0.780  0.250

Values from the calculation:
electronic total energy: -5.5483 eV/atom
crystal system: orthorhombic
excess energy over the best structure of this formula in the dataset: 0.16 eV per formula unit
SG: Cmcm (63)